DFT (meta-GGA SCAN) results for a PBEsol-optimized structure of Ce2Sb.

Computed properties:
VASP energy	-42.9639	eV/atom
crystal system	tetragonal
E_form (uncorrected)	-0.8344	eV/atom
size of the total moment	0.892	μB per atom

CIF file:
```
data_Ce2Sb
_space_group_name_H-M_alt 'I 4/m m m'
_space_group_IT_number 139
_space_group_name_Hall '-I 4 2'
_cell_length_a 4.387
_cell_length_b 4.387
_cell_length_c 17.190
_cell_angle_alpha 90.00
_cell_angle_beta 90.00
_cell_angle_gamma 90.00
loop_
_atom_site_label
_atom_site_type_symbol
_atom_site_fract_x
_atom_site_fract_y
_atom_site_fract_z
Ce1 Ce 0.000 0.000 0.175
Ce2 Ce 0.000 0.500 0.000
Sb1 Sb 0.000 0.000 0.362
```



DFT (meta-GGA SCAN) results for a PBEsol-optimized structure of MgGeAs2.

Computed properties:
ΔE_f	-336	meV/atom
VASP energy	-16.4467	eV/atom
crystal system	tetragonal
size of the total moment	0.000	μB per atom

CIF file:
```
data_MgGeAs2
_space_group_name_H-M_alt 'I -4 2 d'
_space_group_IT_number 122
_space_group_name_Hall 'I -4 2bw'
_cell_length_a 5.979
_cell_length_b 5.979
_cell_length_c 11.039
_cell_angle_alpha 90.00
_cell_angle_beta 90.00
_cell_angle_gamma 90.00
loop_
_atom_site_label
_atom_site_type_symbol
_atom_site_fract_x
_atom_site_fract_y
_atom_site_fract_z
Mg1 Mg 0.000 0.000 0.000
Ge1 Ge 0.000 0.000 0.500
As1 As 0.225 0.250 0.625
```



DFT (meta-GGA SCAN) results for a PBEsol-optimized structure of Mg2ZnW.

Computed properties:
ΔE_f	319	meV/atom
VASP energy	-22.9691	eV/atom
crystal system	orthorhombic
size of the total moment	0.000	μB per atom

CIF file:
```
data_Mg2ZnW
_space_group_name_H-M_alt 'C m m m'
_space_group_IT_number 65
_space_group_name_Hall '-C 2 2'
_cell_length_a 5.536
_cell_length_b 8.804
_cell_length_c 2.750
_cell_angle_alpha 90.00
_cell_angle_beta 90.00
_cell_angle_gamma 90.00
loop_
_atom_site_label
_atom_site_type_symbol
_atom_site_fract_x
_atom_site_fract_y
_atom_site_fract_z
Mg1 Mg 0.250 0.250 0.000
Zn1 Zn 0.000 0.000 0.500
W1 W 0.000 0.500 0.500
```



DFT (meta-GGA SCAN) results for a PBEsol-optimized structure of Li2Co3TeO8.

Computed properties:
VASP energy	-11.7488	eV/atom
crystal system	triclinic
E_form (uncorrected)	-1.4778	eV/atom
size of the total moment	0.071	μB per atom
distance to the lowest polymorph of the same formula	0.070	eV/atom

CIF file:
```
data_Li2Co3TeO8
_space_group_name_H-M_alt 'P -1'
_space_group_IT_number 2
_cell_length_a 4.958
_cell_length_b 5.756
_cell_length_c 5.800
_cell_angle_alpha 119.49
_cell_angle_beta 92.02
_cell_angle_gamma 93.66
loop_
_space_group_symop_operation_xyz
'x,y,z'
'-x,-y,-z'
loop_
_atom_site_label
_atom_site_type_symbol
_atom_site_fract_x
_atom_site_fract_y
_atom_site_fract_z
Li1 Li 0.000 0.000 0.000
Li2 Li 0.000 0.000 0.500
Co1 Co 0.500 0.000 0.000
Co2 Co 0.500 0.000 0.500
Co3 Co 0.500 0.500 0.000
Te1 Te 0.500 0.500 0.500
O1 O 0.278 0.146 0.332
O2 O 0.300 0.656 0.314
O3 O 0.303 0.657 0.828
O4 O 0.307 0.142 0.815
```



Look up the size of the total moment of the fourth one. 0.071 μB per atom